# 1
{"formula": "Ba2TlAu", "functional": "PBEsol", "state": "optimized geometry", "lattice_angstrom": [[4.6785, 0.0000, 0.0000], [0.0000, 4.6785, 0.0000], [0.0000, 0.0000, 7.0676]], "species": ["Tl", "Ba", "Ba", "Au"], "frac_coords": [[0.0000, 0.0000, 0.4418], [0.0000, 0.0000, 0.9094], [0.5000, 0.5000, 0.3201], [0.5000, 0.5000, 0.8287]], "crystal_system": "tetragonal", "final_energy_ev_per_atom": -3.03, "e_above_lowest_polymorph_ev_per_atom": 0.2015, "sg": "P4mm, No. 99", "formation_energy_ev_per_atom": -0.31}

---

# 2
{"formula": "BaTl2Au", "functional": "PBEsol", "state": "optimized geometry", "lattice_angstrom": [[4.8714, 0.0000, 0.0000], [2.4357, 4.2187, 0.0000], [2.4357, 1.4062, 5.9142]], "species": ["Au", "Tl", "Tl", "Ba"], "frac_coords": [[0.4335, 0.4335, 0.6995], [0.0287, 0.0287, 0.9139], [0.7935, 0.7935, 0.6195], [0.2443, 0.2443, 0.2671]], "crystal_system": "trigonal", "final_energy_ev_per_atom": -3.19, "sg": "R3m, No. 160", "formation_energy_ev_per_atom": -0.36}

---

# 3
{"formula": "BaTl2Au", "functional": "PBEsol", "state": "optimized geometry", "lattice_angstrom": [[4.2228, 0.0000, 0.0000], [0.0000, 4.3736, 0.0000], [-2.1114, 0.0000, 6.5856]], "species": ["Tl", "Tl", "Au", "Ba"], "frac_coords": [[0.9093, 0.0000, 0.8187], [0.3150, 0.5000, 0.6300], [0.1732, 0.0000, 0.3463], [0.5834, 0.5000, 0.1667]], "crystal_system": "orthorhombic", "final_energy_ev_per_atom": -3.15, "sg": "Amm2, No. 38", "formation_energy_ev_per_atom": -0.31}

---

# 4
{"formula": "BaTl2Au", "functional": "PBEsol", "state": "optimized geometry", "lattice_angstrom": [[-1.5623, 4.6071, 2.2172], [-0.0654, 0.5192, 5.3206], [3.5772, 3.1491, 2.4227]], "species": ["Tl", "Tl", "Au", "Ba"], "frac_coords": [[0.7500, 0.7500, 0.7500], [0.2500, 0.2500, 0.2500], [0.5000, 0.5000, 0.5000], [0.0000, 0.0000, 0.0000]], "crystal_system": "cubic", "final_energy_ev_per_atom": -3.07, "sg": "Fm-3m, No. 225", "formation_energy_ev_per_atom": -0.24}

---

# 5
{"formula": "BaTl2Au", "functional": "PBEsol", "state": "optimized geometry", "lattice_angstrom": [[-3.2878, 2.0087, -0.9301], [-1.8286, -0.5134, 5.3550], [4.8945, 3.6405, -0.9940]], "species": ["Ba", "Tl", "Tl", "Au"], "frac_coords": [[0.0000, 0.5000, 0.0000], [0.2114, 0.2114, 0.4227], [0.7886, 0.7886, 0.5773], [0.5000, 0.0000, 0.0000]], "crystal_system": "orthorhombic", "final_energy_ev_per_atom": -3.17, "sg": "Immm, No. 71", "formation_energy_ev_per_atom": -0.33}

---

# 6
{"formula": "BaTl3Au", "functional": "PBEsol", "state": "optimized geometry", "lattice_angstrom": [[5.4697, 0.0000, 0.0000], [0.0000, 5.4697, 0.0000], [0.0000, 0.0000, 5.4697]], "species": ["Tl", "Tl", "Tl", "Ba", "Au"], "frac_coords": [[0.5000, 0.0000, 0.0000], [0.0000, 0.0000, 0.5000], [0.0000, 0.5000, 0.0000], [0.5000, 0.5000, 0.5000], [0.0000, 0.0000, 0.0000]], "crystal_system": "cubic", "final_energy_ev_per_atom": -2.85, "sg": "Pm-3m, No. 221", "formation_energy_ev_per_atom": -0.06}

---

# 7
{"formula": "Ba2TlAu", "functional": "PBEsol", "state": "optimized geometry", "lattice_angstrom": [[-0.8944, 1.9379, -3.3606], [-3.4986, -1.8929, -0.1604], [-3.5557, 6.1893, 4.5153]], "species": ["Ba", "Ba", "Tl", "Au"], "frac_coords": [[0.0000, 0.0000, 0.2712], [0.0000, 0.0000, 0.7288], [0.5000, 0.5000, 0.0000], [0.5000, 0.5000, 0.5000]], "crystal_system": "tetragonal", "final_energy_ev_per_atom": -3.23, "e_above_lowest_polymorph_ev_per_atom": 0.0000, "sg": "P4/mmm, No. 123", "formation_energy_ev_per_atom": -0.51}

---

# 8
{"formula": "BaTlAu4", "functional": "PBEsol", "state": "optimized geometry", "lattice_angstrom": [[5.7101, 0.0000, 0.0000], [2.8551, 4.9451, 0.0000], [2.8551, 1.6484, 4.6623]], "species": ["Au", "Au", "Au", "Au", "Tl", "Ba"], "frac_coords": [[0.3743, 0.3743, 0.3743], [0.3743, 0.3743, 0.8772], [0.3743, 0.8772, 0.3743], [0.8772, 0.3743, 0.3743], [0.0000, 0.0000, 0.0000], [0.7500, 0.7500, 0.7500]], "crystal_system": "cubic", "final_energy_ev_per_atom": -3.75, "sg": "F-43m, No. 216", "formation_energy_ev_per_atom": -0.33}

---

# 9
{"formula": "Ba2TlAu", "functional": "PBEsol", "state": "optimized geometry", "lattice_angstrom": [[3.9906, 0.0000, 0.0000], [0.0000, 5.7963, 0.0000], [0.0000, 0.0000, 5.7971]], "species": ["Ba", "Ba", "Au", "Tl"], "frac_coords": [[0.0000, 0.5000, 0.6250], [0.0000, 0.0000, 0.1253], [0.5000, 0.5000, 0.1244], [0.5000, 0.0000, 0.6254]], "crystal_system": "orthorhombic", "final_energy_ev_per_atom": -3.20, "e_above_lowest_polymorph_ev_per_atom": 0.0237, "sg": "Pmm2, No. 25", "formation_energy_ev_per_atom": -0.49}

---

# 10
{"formula": "Ba2TlAu", "functional": "PBEsol", "state": "optimized geometry", "lattice_angstrom": [[-3.4063, 2.4434, -1.8143], [-2.0686, 0.5375, 4.6077], [4.9369, 3.9191, 1.7593]], "species": ["Tl", "Ba", "Ba", "Au"], "frac_coords": [[0.5562, 0.0000, 0.1124], [0.9845, 0.5000, 0.9691], [0.2672, 0.0000, 0.5344], [0.6921, 0.5000, 0.3842]], "crystal_system": "orthorhombic", "final_energy_ev_per_atom": -3.18, "e_above_lowest_polymorph_ev_per_atom": 0.0483, "sg": "Amm2, No. 38", "formation_energy_ev_per_atom": -0.47}

---

# 11
{"formula": "BaTlAu", "functional": "PBEsol", "state": "optimized geometry", "lattice_angstrom": [[4.2771, 0.0000, 0.0000], [0.0000, 4.9478, 0.0000], [0.0000, -2.4739, 4.2849]], "species": ["Ba", "Tl", "Au"], "frac_coords": [[0.0000, 0.6667, 0.3333], [0.5000, 0.3333, 0.6667], [0.5000, 0.0000, 0.0000]], "crystal_system": "hexagonal", "final_energy_ev_per_atom": -3.41, "sg": "P-6m2, No. 187", "formation_energy_ev_per_atom": -0.51}

---

# 12
{"formula": "Ba2TlAu", "functional": "PBEsol", "state": "optimized geometry", "lattice_angstrom": [[-0.0507, -5.6400, 1.0736], [3.6667, -2.2292, 3.8145], [-1.9344, -1.9449, 5.0438]], "species": ["Ba", "Ba", "Tl", "Au"], "frac_coords": [[0.7500, 0.7500, 0.7500], [0.2500, 0.2500, 0.2500], [0.5000, 0.5000, 0.5000], [0.0000, 0.0000, 0.0000]], "crystal_system": "cubic", "final_energy_ev_per_atom": -3.17, "e_above_lowest_polymorph_ev_per_atom": 0.0537, "sg": "Fm-3m, No. 225", "formation_energy_ev_per_atom": -0.46}